[1]
DFT (PBE-GGA) results for Hf2Al9Ni3 after structural relaxation.

Electronic total energy = -5.539 eV per atom
Density = 6.1 g/cm³

abc: 7.378 7.378 9.953
angles: 90.01 111.22 120.77
Element x y z (fractional)
Hf 0.343 0.244 0.752
Hf 0.657 0.756 0.248
Hf 0.992 0.592 0.748
Hf 0.008 0.408 0.252
Al 0.450 0.918 0.749
Al 0.550 0.082 0.251
Al 0.669 0.701 0.751
Al 0.331 0.299 0.249
Al 0.437 0.632 0.923
Al 0.563 0.368 0.077
Al 0.209 0.515 0.577
Al 0.791 0.485 0.423
Al 0.902 0.152 0.750
Al 0.098 0.848 0.250
Al 0.136 0.985 0.945
Al 0.864 0.015 0.055
Al 0.541 0.192 0.555
Al 0.459 0.808 0.445
Al 0.884 0.859 0.570
Al 0.116 0.141 0.430
Al 0.789 0.315 0.930
Al 0.211 0.685 0.070
Ni 0.500 0.000 0.000
Ni 0.500 0.500 0.500
Ni 0.838 0.170 0.497
Ni 0.162 0.830 0.503
Ni 0.173 0.341 0.003
Ni 0.827 0.659 0.997

[2]
DFT (PBE-GGA) results for HfS2IN after structural relaxation.

Electronic total energy = -5.548 eV per atom
Energy above the lowest structure with this stoichiometry = 0.000 eV/atom
Density = 6.0 g/cm³

abc: 5.113 5.113 4.082
angles: 90.00 90.00 90.00
Element x y z (fractional)
I 0.500 0.500 0.500
S 0.000 0.500 0.000
S 0.500 0.000 0.000
Hf 0.000 0.000 0.000
N 0.000 0.000 0.500

[3]
DFT (PBE-GGA) results for RbCaHgSe2 after structural relaxation.

Electronic total energy = -3.010 eV per atom
Density = 4.4 g/cm³

abc: 5.862 7.955 7.960
angles: 100.99 90.00 90.00
Element x y z (fractional)
Rb 0.172 0.500 0.750
Rb 0.828 0.500 0.250
Ca 0.488 0.000 0.250
Ca 0.512 0.000 0.750
Hg 0.000 0.000 0.000
Hg 0.000 0.000 0.500
Se 0.656 0.756 0.958
Se 0.656 0.244 0.542
Se 0.344 0.756 0.458
Se 0.344 0.244 0.042

[4]
DFT (PBE-GGA) results for Ca2Mg2Zn after structural relaxation.

Electronic total energy = -1.781 eV per atom
Energy above the lowest structure with this stoichiometry = 0.041 eV/atom
Density = 2.4 g/cm³

abc: 8.257 8.257 6.450
angles: 89.97 90.03 141.73
Element x y z (fractional)
Ca 0.077 0.923 0.938
Ca 0.923 0.077 0.437
Ca 0.319 0.681 0.128
Ca 0.681 0.319 0.629
Mg 0.290 0.710 0.634
Mg 0.710 0.290 0.136
Mg 0.530 0.470 0.265
Mg 0.470 0.530 0.765
Zn 0.136 0.864 0.401
Zn 0.864 0.136 0.900

[5]
DFT (PBE-GGA) results for CaSiAu2 after structural relaxation.

Electronic total energy = -3.756 eV per atom
Density = 9.7 g/cm³

abc: 5.174 5.174 5.174
angles: 130.14 130.14 73.18
Element x y z (fractional)
Au 0.000 0.000 0.000
Au 0.250 0.750 0.500
Ca 0.500 0.500 0.000
Si 0.750 0.250 0.500

[6]
DFT (PBE-GGA) results for TlBiTeI2 after structural relaxation.

Electronic total energy = -2.683 eV per atom
Energy above the lowest structure with this stoichiometry = 0.000 eV/atom
Density = 5.7 g/cm³

abc: 6.231 6.231 5.974
angles: 90.00 90.00 90.00
Element x y z (fractional)
I 0.000 0.500 0.000
I 0.500 0.000 0.000
Tl 0.500 0.500 0.500
Te 0.000 0.000 0.500
Bi 0.000 0.000 0.000

[7]
DFT (PBE-GGA) results for CoRh2Se after structural relaxation.

Electronic total energy = -6.172 eV per atom
Density = 10.1 g/cm³

abc: 4.592 4.592 4.592
angles: 129.46 129.46 74.27
Site moments in Bohr magnetons follow the coordinates.
Element x y z (fractional)
Co 0.750 0.250 0.500  1.73
Rh 0.000 0.000 0.000  0.26
Rh 0.500 0.500 0.000  0.26
Se 0.250 0.750 0.500  -0.01

The D(E_F) results, record by record, are as follows: 11.8, 5.7, 7.5, 6.7, 1.1, 1.6, 3.7 states/eV per cell.